Here is a geometry-optimized La3CuGe6Pd2 structure from Alexandria. Energies are from GGA-PBE.

The structure in CIF format:
```
data_La3CuGe6Pd2
_symmetry_space_group_name_H-M 'P 1'
_symmetry_Int_Tables_number 1
_cell_length_a 6.068
_cell_length_b 6.068
_cell_length_c 8.328
_cell_angle_alpha 90.00
_cell_angle_beta 90.00
_cell_angle_gamma 120.00
loop_
_symmetry_equiv_pos_as_xyz
'x,y,z'
loop_
_atom_site_label
_atom_site_type_symbol
_atom_site_fract_x
_atom_site_fract_y
_atom_site_fract_z
_atom_site_occupancy
La1 La 0.000 0.000 0.000 1
La2 La 0.333 0.667 0.637 1
La3 La 0.667 0.333 0.363 1
Cu1 Cu 0.000 0.000 0.500 1
Ge1 Ge 0.188 0.377 0.293 1
Ge2 Ge 0.188 0.812 0.293 1
Ge3 Ge 0.377 0.188 0.707 1
Ge4 Ge 0.623 0.812 0.293 1
Ge5 Ge 0.812 0.188 0.707 1
Ge6 Ge 0.812 0.623 0.707 1
Pd1 Pd 0.333 0.667 0.036 1
Pd2 Pd 0.667 0.333 0.964 1
```

VASP energy = -5.19 eV per atom
DOS at the Fermi energy = 3.61 states/eV/f.u.
spin magnetization = 0.00 μB per atom